1.
Cd2SiHg: optimized geometry, PBE.

a = 5.3400 Å, b = 5.3400 Å, c = 5.3400 Å
α = 130.53°, β = 130.53°, γ = 72.57°
With the nearest neighbours (Å) after each atom.
Positions (direct):
Cd  0.2500  0.7500  0.5000  4 Hg 3.10, 4 Si 3.10, 4 Cd 3.16
Cd  0.7500  0.2500  0.5000  4 Hg 3.10, 4 Si 3.10, 4 Cd 3.16
Si  0.0000  0.0000  0.0000  8 Cd 3.10, 4 Hg 3.16
Hg  0.5000  0.5000  0.0000  8 Cd 3.10, 4 Si 3.16

Properties
Its energy above the most stable polymorph in this dataset is 0.227 eV/f.u. As for the final energy: -1.586 eV per atom.

***

2.
DyY2S: optimized geometry, PBE.

a = 10.2201 Å, b = 10.2201 Å, c = 10.2201 Å
α = 20.71°, β = 20.71°, γ = 20.71°
With the nearest neighbours (Å) after each atom.
Positions (direct):
Dy  0.0000  0.0000  0.0000  2 Y 3.36, 6 Dy 3.67
Y  0.1120  0.1120  0.1120  3 S 2.68
Y  0.8880  0.8880  0.8880  3 S 2.68
S  0.5000  0.5000  0.5000  6 Y 2.68

Properties
Its energy above the most stable polymorph in this dataset is 0.910 eV/f.u. As for the final energy: -6.151 eV per atom.

***

3.
NbCuGeRu: optimized geometry, PBE.

a = 4.3752 Å, b = 4.3752 Å, c = 4.3752 Å
α = 60.00°, β = 60.00°, γ = 60.00°
With the nearest neighbours (Å) after each atom.
Positions (direct):
Nb  0.0000  0.0000  0.0000  4 Cu 2.68, 4 Ru 2.68
Cu  0.2500  0.2500  0.2500  4 Ge 2.68, 4 Nb 2.68
Ge  0.5000  0.5000  0.5000  4 Ru 2.68, 4 Cu 2.68
Ru  0.7500  0.7500  0.7500  4 Nb 2.68, 4 Ge 2.68

Properties
The calculation puts the formation energy at -130 meV/atom. As for the final energy: -7.144 eV per atom.